The following is a PBE-GGA calculation of a geometry-optimized CaCe2ThSb4 structure, from the Alexandria database.

Values from the calculation:
Its space group is P2/m (10). Its calculated volume is 260.2 Å³/cell. The value obtained for the uncorrected formation energy is -8.063 eV per formula unit. The energy is -45.841 eV/cell. The density of states at the Fermi level is 13.55 states/eV/f.u.

abc: 4.5167 7.8072 7.8232
angles: 109.41 90.00 90.00
Last column: magnetic moment on the atom in μB.
Element x y z (fractional)
Ca  0.5000  0.5000  0.0000  -0.01
Ce  0.5000  0.0000  0.5000  0.69
Ce  0.0000  0.5000  0.5000  0.79
Th  0.0000  0.0000  0.0000  0.01
Sb  0.5000  0.2494  0.2510  -0.01
Sb  0.5000  0.7506  0.7490  -0.01
Sb  0.0000  0.2462  0.7467  -0.02
Sb  0.0000  0.7538  0.2533  -0.02

=====

The following is a PBE-GGA calculation of a geometry-optimized PrScPO structure, from the Alexandria database.

Values from the calculation:
Its space group is P4/nmm (129). Its calculated volume is 160.5 Å³/cell. The value obtained for the uncorrected formation energy is -8.223 eV per formula unit. The energy is -59.404 eV/cell. The density of states at the Fermi level is 2.09 states/eV/f.u.

abc: 4.2533 4.2533 8.8733
angles: 90.00 90.00 90.00
Element x y z (fractional)
Pr  0.5000  0.0000  0.6241
Pr  0.0000  0.5000  0.3759
Sc  0.5000  0.5000  0.0000
Sc  0.0000  0.0000  0.0000
P  0.0000  0.5000  0.8299
P  0.5000  0.0000  0.1701
O  0.0000  0.0000  0.5000
O  0.5000  0.5000  0.5000

=====

The following is a PBE-GGA calculation of a geometry-optimized Cd3InBi3 structure, from the Alexandria database.

Values from the calculation:
Its space group is Pm-3n (223). Its calculated volume is 561.9 Å³/cell. The energy is -30.288 eV/cell. The density of states at the Fermi level is 6.53 states/eV/f.u.

abc: 8.2520 8.2520 8.2520
angles: 90.00 90.00 90.00
Element x y z (fractional)
Cd  0.2500  0.0000  0.5000
Cd  0.0000  0.5000  0.2500
Cd  0.5000  0.7500  0.0000
Cd  0.7500  0.0000  0.5000
Cd  0.0000  0.5000  0.7500
Cd  0.5000  0.2500  0.0000
Bi  0.0000  0.2500  0.5000
Bi  0.0000  0.7500  0.5000
Bi  0.5000  0.0000  0.7500
Bi  0.7500  0.5000  0.0000
Bi  0.5000  0.0000  0.2500
Bi  0.2500  0.5000  0.0000
In  0.5000  0.5000  0.5000
In  0.0000  0.0000  0.0000

=====

The following is a PBE-GGA calculation of a geometry-optimized NdDyTePb structure, from the Alexandria database.

Values from the calculation:
Its space group is R3m (160). Its calculated volume is 127.7 Å³/cell. The value obtained for the uncorrected formation energy is -3.897 eV per formula unit. The energy is -20.117 eV/cell. The density of states at the Fermi level is 1.38 states/eV/f.u.

abc: 4.4847 4.4847 7.7737
angles: 73.23 73.23 60.00
Element x y z (fractional)
Nd  0.9469  0.9469  0.1594
Dy  0.4416  0.4416  0.6752
Te  0.1909  0.1909  0.4273
Pb  0.6970  0.6970  0.9089

=====

The following is a PBE-GGA calculation of a geometry-optimized Ca2SmScS4 structure, from the Alexandria database.

Values from the calculation:
Its space group is P2/m (10). Its calculated volume is 172.9 Å³/cell. The value obtained for the uncorrected formation energy is -15.989 eV per formula unit. The energy is -47.553 eV/cell. The density of states at the Fermi level is 3.54 states/eV/f.u.

abc: 3.9158 6.7752 6.9000
angles: 109.13 90.00 90.00
Element x y z (fractional)
Ca  0.5000  0.0000  0.5000
Ca  0.0000  0.5000  0.5000
Sm  0.5000  0.5000  0.0000
Sc  0.0000  0.0000  0.0000
S  0.5000  0.2350  0.2376
S  0.5000  0.7650  0.7624
S  0.0000  0.2399  0.7542
S  0.0000  0.7601  0.2458